(1)
A relaxed structure of MgCuW2. Source: Alexandria via LeMat-Bulk, functional PBEsol.

Unit cell a=3.248 b=4.497 c=8.255 alpha=90.00 beta=90.00 gamma=90.00
Space group Imm2 (No. 44)
One atom of each set of equivalent atoms:
Mg1 0.000 0.000 0.000 [2 per cell]
Cu1 0.000 0.500 0.264 [2 per cell]
W1 0.000 0.000 0.514 [2 per cell]
W2 0.000 0.500 0.776 [2 per cell]

Calculated values
DFT formation energy = 0.518 eV per atom
DFT total energy = -0.5805 Ry/atom
M_tot = 0.0 μB/f.u.

=====

(2)
A relaxed structure of HBr. Source: Alexandria via LeMat-Bulk, functional PBEsol.

Unit cell a=5.118 b=6.187 c=5.179 alpha=90.00 beta=90.00 gamma=90.00
Space group Pnma (No. 62)
One atom of each set of equivalent atoms:
H1 0.039 0.250 0.213 [4 per cell]
Br1 0.249 0.250 0.008 [4 per cell]

Calculated values
DFT total energy = -0.2070 Ry/atom
M_tot = 0.0 μB/f.u.

=====

(3)
A relaxed structure of HAu2F. Source: Alexandria via LeMat-Bulk, functional PBEsol.

Unit cell a=5.784 b=5.784 c=5.784 alpha=90.00 beta=90.00 gamma=90.00
Space group Fm-3m (No. 225)
One atom of each set of equivalent atoms:
H1 0.000 0.000 0.000 [4 per cell]
Au1 0.250 0.250 0.250 [8 per cell]
F1 0.000 0.000 0.500 [4 per cell]

Calculated values
DFT total energy = -0.2220 Ry/atom
M_tot = 0.0 μB/f.u.

=====

(4)
A relaxed structure of Ca3Ga3Ge3O14. Source: Alexandria via LeMat-Bulk, functional PBEsol.

Unit cell a=8.1143 b=8.1143 c=4.9846 alpha=90.00 beta=90.00 gamma=120.00
Space group P321 (No. 150)
One atom of each set of equivalent atoms:
Ca1 0.0000 0.5792 0.0000 [3 per cell]
Ga1 0.0000 0.2412 0.5000 [3 per cell]
Ge1 0.0000 0.0000 0.0000 [1 per cell]
Ge2 0.3333 0.6667 0.5425 [2 per cell]
O1 0.0754 0.8610 0.2306 [6 per cell]
O2 0.1462 0.4632 0.6998 [6 per cell]
O3 0.3333 0.6667 0.1965 [2 per cell]

Calculated values
DFT total energy = -0.4904 Ry/atom
Formation energy without anion corrections = -2.118 eV/atom
M_tot = 1.2 μB/f.u.

=====

(5)
A relaxed structure of MgTa2GaAu. Source: Alexandria via LeMat-Bulk, functional PBEsol.

Unit cell a=5.012 b=5.012 c=4.633 alpha=90.00 beta=90.00 gamma=90.00
Space group P4/mmm (No. 123)
One atom of each set of equivalent atoms:
Mg1 0.000 0.000 0.000 [1 per cell]
Ta1 0.000 0.500 0.500 [2 per cell]
Ga1 0.500 0.500 0.000 [1 per cell]
Au1 0.500 0.500 0.500 [1 per cell]

Calculated values
DFT formation energy = 1.304 eV per atom
DFT total energy = -0.4051 Ry/atom
M_tot = 0.0 μB/f.u.

=====

(6)
A relaxed structure of K3FeN. Source: Alexandria via LeMat-Bulk, functional PBEsol.

Unit cell a=5.985 b=5.985 c=5.985 alpha=90.00 beta=90.00 gamma=90.00
Space group Pm-3m (No. 221)
One atom of each set of equivalent atoms:
K1 0.000 0.000 0.500 [3 per cell]
Fe1 0.000 0.000 0.000 [1 per cell]
N1 0.500 0.500 0.500 [1 per cell]

Calculated values
DFT total energy = -0.1826 Ry/atom
Formation energy without anion corrections = 1.693 eV/atom
M_tot = 4.0 μB/f.u.

=====

(7)
A relaxed structure of CaScAl2. Source: Alexandria via LeMat-Bulk, functional PBEsol.

Unit cell a=3.159 b=4.160 c=6.562 alpha=90.00 beta=90.00 gamma=90.00
Space group Pmmm (No. 47)
One atom of each set of equivalent atoms:
Ca1 0.000 0.000 0.000 [1 per cell]
Sc1 0.000 0.000 0.500 [1 per cell]
Al1 0.500 0.500 0.289 [2 per cell]

Calculated values
DFT formation energy = -0.319 eV per atom
DFT total energy = -0.3344 Ry/atom
Polymorph energy (0 for the lowest one) = 1 meV per atom
M_tot = 0.0 μB/f.u.

=====

(8)
A relaxed structure of Sm4Se3O4. Source: Alexandria via LeMat-Bulk, functional PBEsol.

Unit cell a=8.307 b=3.917 c=12.634 alpha=90.00 beta=90.00 gamma=90.00
Space group Amm2 (No. 38)
One atom of each set of equivalent atoms:
Sm1 0.000 0.000 0.000 [2 per cell]
Sm2 0.238 0.000 0.681 [4 per cell]
Sm3 0.500 0.000 0.016 [2 per cell]
Se1 0.000 0.000 0.312 [2 per cell]
Se2 0.349 0.000 0.355 [4 per cell]
O1 0.000 0.000 0.588 [2 per cell]
O2 0.244 0.000 0.086 [4 per cell]
O3 0.500 0.000 0.614 [2 per cell]

Calculated values
DFT total energy = -0.5614 Ry/atom
Formation energy without anion corrections = -2.828 eV/atom
M_tot = 0.0 μB/f.u.

=====

- Which value of M_tot does entry 5 give?
  0.0 μB/f.u.